No. 1
DFT (PBE-GGA) results for a relaxed HgPb2I crystal.

Values from the calculation:
SG	R-3m, No. 166
energy relative to the lowest polymorph listed for this composition	90	meV/atom
spin magnetization	0.0	Bohr magnetons per cell

Structure (CIF):
```
data_HgPb2I
_chemical_formula_sum 'Hg1 Pb2 I1'
_cell_length_a 3.613
_cell_length_b 3.613
_cell_length_c 11.945
_cell_angle_alpha 81.30
_cell_angle_beta 81.30
_cell_angle_gamma 60.00
_symmetry_space_group_name_H-M 'P 1'
_symmetry_Int_Tables_number 1
loop_
_symmetry_equiv_pos_as_xyz
'x,y,z'
loop_
_atom_site_label
_atom_site_type_symbol
_atom_site_fract_x
_atom_site_fract_y
_atom_site_fract_z
Pb1 Pb 0.912 0.912 0.264
Pb2 Pb 0.088 0.088 0.736
I1 I 0.000 0.000 0.000
Hg1 Hg 0.500 0.500 0.500
```

***

No. 2
DFT (PBE-GGA) results for a relaxed SrMoSe2N crystal.

Values from the calculation:
SG	P4/mmm, No. 123
energy relative to the lowest polymorph listed for this composition	2000	meV/atom
spin magnetization	1.0	Bohr magnetons per cell

Structure (CIF):
```
data_SrMoSe2N
_chemical_formula_sum 'Sr1 Mo1 Se2 N1'
_cell_length_a 5.731
_cell_length_b 5.731
_cell_length_c 4.668
_cell_angle_alpha 90.00
_cell_angle_beta 90.00
_cell_angle_gamma 90.00
_symmetry_space_group_name_H-M 'P 1'
_symmetry_Int_Tables_number 1
loop_
_symmetry_equiv_pos_as_xyz
'x,y,z'
loop_
_atom_site_label
_atom_site_type_symbol
_atom_site_fract_x
_atom_site_fract_y
_atom_site_fract_z
Sr1 Sr 0.000 0.000 0.000
Se1 Se 0.000 0.500 0.000
Se2 Se 0.500 0.000 0.000
N1 N 0.000 0.000 0.500
Mo1 Mo 0.500 0.500 0.500
```

***

No. 3
DFT (PBE-GGA) results for a relaxed CePr3Sm2Se6 crystal.

Values from the calculation:
SG	C2/m, No. 12
spin magnetization	0.9	Bohr magnetons per cell
total DFT energy (no corrections)	-72.7	eV for the cell shown

Structure (CIF):
```
data_CePr3Sm2Se6
_chemical_formula_sum 'Ce1 Pr3 Sm2 Se6'
_cell_length_a 7.310
_cell_length_b 7.310
_cell_length_c 7.336
_cell_angle_alpha 99.57
_cell_angle_beta 99.57
_cell_angle_gamma 120.12
_symmetry_space_group_name_H-M 'P 1'
_symmetry_Int_Tables_number 1
loop_
_symmetry_equiv_pos_as_xyz
'x,y,z'
loop_
_atom_site_label
_atom_site_type_symbol
_atom_site_fract_x
_atom_site_fract_y
_atom_site_fract_z
Sm1 Sm 0.667 0.333 0.000
Sm2 Sm 0.333 0.667 0.000
Se1 Se 0.414 0.081 0.242
Se2 Se 0.081 0.414 0.242
Se3 Se 0.747 0.747 0.243
Se4 Se 0.586 0.919 0.758
Se5 Se 0.253 0.253 0.757
Se6 Se 0.919 0.586 0.758
Pr1 Pr 0.500 0.500 0.500
Pr2 Pr 0.831 0.169 0.500
Pr3 Pr 0.169 0.831 0.500
Ce1 Ce 0.000 0.000 0.000
```

***

No. 4
DFT (PBE-GGA) results for a relaxed Ho2Tm3Pd3 crystal.

Values from the calculation:
SG	Immm, No. 71
energy relative to the elements	-5.3	eV/f.u.
spin magnetization	0.0	Bohr magnetons per cell

Structure (CIF):
```
data_Ho2Tm3Pd3
_chemical_formula_sum 'Ho2 Tm3 Pd3'
_cell_length_a 3.522
_cell_length_b 5.098
_cell_length_c 10.817
_cell_angle_alpha 103.63
_cell_angle_beta 99.37
_cell_angle_gamma 90.00
_symmetry_space_group_name_H-M 'P 1'
_symmetry_Int_Tables_number 1
loop_
_symmetry_equiv_pos_as_xyz
'x,y,z'
loop_
_atom_site_label
_atom_site_type_symbol
_atom_site_fract_x
_atom_site_fract_y
_atom_site_fract_z
Tm1 Tm 0.615 0.615 0.231
Tm2 Tm 0.385 0.385 0.769
Tm3 Tm 0.500 0.000 0.000
Ho1 Ho 0.727 0.227 0.453
Ho2 Ho 0.273 0.773 0.547
Pd1 Pd 0.000 0.500 0.000
Pd2 Pd 0.886 0.886 0.772
Pd3 Pd 0.114 0.114 0.228
```

***

No. 5
DFT (PBE-GGA) results for a relaxed AlFeSi2 crystal.

Values from the calculation:
SG	P4/mmm, No. 123
spin magnetization	0.0	Bohr magnetons per cell
total DFT energy (no corrections)	-22.6	eV for the cell shown

Structure (CIF):
```
data_AlFeSi2
_chemical_formula_sum 'Al1 Fe1 Si2'
_cell_length_a 3.700
_cell_length_b 3.700
_cell_length_c 3.632
_cell_angle_alpha 90.00
_cell_angle_beta 90.00
_cell_angle_gamma 90.00
_symmetry_space_group_name_H-M 'P 1'
_symmetry_Int_Tables_number 1
loop_
_symmetry_equiv_pos_as_xyz
'x,y,z'
loop_
_atom_site_label
_atom_site_type_symbol
_atom_site_fract_x
_atom_site_fract_y
_atom_site_fract_z
Si1 Si 0.500 0.500 0.000
Si2 Si 0.000 0.000 0.000
Al1 Al 0.500 0.000 0.500
Fe1 Fe 0.000 0.500 0.500
```

***

No. 6
DFT (PBE-GGA) results for a relaxed Y8Tm3Sc3 crystal.

Values from the calculation:
SG	Immm, No. 71
energy relative to the elements	2.0	eV/f.u.
spin magnetization	0.0	Bohr magnetons per cell

Structure (CIF):
```
data_Y8Tm3Sc3
_chemical_formula_sum 'Y8 Tm3 Sc3'
_cell_length_a 5.518
_cell_length_b 9.455
_cell_length_c 9.455
_cell_angle_alpha 102.66
_cell_angle_beta 73.03
_cell_angle_gamma 73.03
_symmetry_space_group_name_H-M 'P 1'
_symmetry_Int_Tables_number 1
loop_
_symmetry_equiv_pos_as_xyz
'x,y,z'
loop_
_atom_site_label
_atom_site_type_symbol
_atom_site_fract_x
_atom_site_fract_y
_atom_site_fract_z
Tm1 Tm 0.500 0.000 0.000
Tm2 Tm 0.000 0.176 0.824
Tm3 Tm 0.000 0.824 0.176
Y1 Y 0.658 0.562 0.122
Y2 Y 0.161 0.441 0.237
Y3 Y 0.161 0.237 0.441
Y4 Y 0.839 0.763 0.559
Y5 Y 0.658 0.122 0.562
Y6 Y 0.342 0.438 0.878
Y7 Y 0.839 0.559 0.763
Y8 Y 0.342 0.878 0.438
Sc1 Sc 0.797 0.204 0.204
Sc2 Sc 0.500 0.500 0.500
Sc3 Sc 0.203 0.796 0.796
```

***

No. 7
DFT (PBE-GGA) results for a relaxed LiY2HoHg4 crystal.

Values from the calculation:
SG	R-3m, No. 166
energy relative to the elements	-3.7	eV/f.u.
spin magnetization	0.0	Bohr magnetons per cell

Structure (CIF):
```
data_LiY2HoHg4
_chemical_formula_sum 'Li1 Y2 Ho1 Hg4'
_cell_length_a 5.149
_cell_length_b 5.149
_cell_length_c 9.014
_cell_angle_alpha 73.40
_cell_angle_beta 73.40
_cell_angle_gamma 60.00
_symmetry_space_group_name_H-M 'P 1'
_symmetry_Int_Tables_number 1
loop_
_symmetry_equiv_pos_as_xyz
'x,y,z'
loop_
_atom_site_label
_atom_site_type_symbol
_atom_site_fract_x
_atom_site_fract_y
_atom_site_fract_z
Y1 Y 0.755 0.755 0.736
Y2 Y 0.245 0.245 0.264
Li1 Li 0.500 0.500 0.500
Hg1 Hg 0.125 0.125 0.624
Hg2 Hg 0.376 0.376 0.871
Hg3 Hg 0.624 0.624 0.129
Hg4 Hg 0.875 0.875 0.376
Ho1 Ho 0.000 0.000 0.000
```

***

No. 8
DFT (PBE-GGA) results for a relaxed GaFeRh6 crystal.

Values from the calculation:
SG	C2/m, No. 12
energy relative to the elements	-1.5	eV/f.u.
spin magnetization	3.6	Bohr magnetons per cell

Structure (CIF):
```
data_GaFeRh6
_chemical_formula_sum 'Ga1 Fe1 Rh6'
_cell_length_a 3.840
_cell_length_b 4.658
_cell_length_c 7.165
_cell_angle_alpha 78.11
_cell_angle_beta 74.46
_cell_angle_gamma 65.66
_symmetry_space_group_name_H-M 'P 1'
_symmetry_Int_Tables_number 1
loop_
_symmetry_equiv_pos_as_xyz
'x,y,z'
loop_
_atom_site_label
_atom_site_type_symbol
_atom_site_fract_x
_atom_site_fract_y
_atom_site_fract_z
Rh1 Rh 0.250 0.876 0.624
Rh2 Rh 0.750 0.124 0.376
Rh3 Rh 0.499 0.257 0.744
Rh4 Rh 0.251 0.372 0.126
Rh5 Rh 0.749 0.628 0.874
Rh6 Rh 0.501 0.743 0.256
Ga1 Ga 0.000 0.000 0.000
Fe1 Fe 0.000 0.500 0.500
```

***

No. 9
DFT (PBE-GGA) results for a relaxed ScRh2CF crystal.

Values from the calculation:
SG	P4/mmm, No. 123
energy relative to the lowest polymorph listed for this composition	2026	meV/atom
spin magnetization	1.6	Bohr magnetons per cell

Structure (CIF):
```
data_ScRh2CF
_chemical_formula_sum 'Sc1 Rh2 C1 F1'
_cell_length_a 4.785
_cell_length_b 4.144
_cell_length_c 4.785
_cell_angle_alpha 90.00
_cell_angle_beta 90.00
_cell_angle_gamma 90.00
_symmetry_space_group_name_H-M 'P 1'
_symmetry_Int_Tables_number 1
loop_
_symmetry_equiv_pos_as_xyz
'x,y,z'
loop_
_atom_site_label
_atom_site_type_symbol
_atom_site_fract_x
_atom_site_fract_y
_atom_site_fract_z
Rh1 Rh 0.500 0.000 0.000
Rh2 Rh 0.000 0.000 0.500
F1 F 0.500 0.500 0.500
Sc1 Sc 0.000 0.000 0.000
C1 C 0.000 0.500 0.000
```

***

No. 10
DFT (PBE-GGA) results for a relaxed AlFe4Ru crystal.

Values from the calculation:
SG	F-43m, No. 216
energy relative to the elements	-0.2	eV/f.u.
spin magnetization	9.3	Bohr magnetons per cell

Structure (CIF):
```
data_AlFe4Ru
_chemical_formula_sum 'Al1 Fe4 Ru1'
_cell_length_a 4.726
_cell_length_b 4.726
_cell_length_c 4.726
_cell_angle_alpha 60.00
_cell_angle_beta 60.00
_cell_angle_gamma 60.00
_symmetry_space_group_name_H-M 'P 1'
_symmetry_Int_Tables_number 1
loop_
_symmetry_equiv_pos_as_xyz
'x,y,z'
loop_
_atom_site_label
_atom_site_type_symbol
_atom_site_fract_x
_atom_site_fract_y
_atom_site_fract_z
Fe1 Fe 0.375 0.375 0.874
Fe2 Fe 0.874 0.375 0.375
Fe3 Fe 0.375 0.375 0.375
Fe4 Fe 0.375 0.874 0.375
Al1 Al 0.000 0.000 0.000
Ru1 Ru 0.750 0.750 0.750
```

***

No. 11
DFT (PBE-GGA) results for a relaxed SmTm3In2 crystal.

Values from the calculation:
SG	Pnma, No. 62
energy relative to the lowest polymorph listed for this composition	0	meV/atom
energy relative to the elements	-1.7	eV/f.u.
spin magnetization	0.0	Bohr magnetons per cell

Structure (CIF):
```
data_SmTm3In2
_chemical_formula_sum 'Sm4 Tm12 In8'
_cell_length_a 3.482
_cell_length_b 8.885
_cell_length_c 22.042
_cell_angle_alpha 90.00
_cell_angle_beta 90.00
_cell_angle_gamma 90.00
_symmetry_space_group_name_H-M 'P 1'
_symmetry_Int_Tables_number 1
loop_
_symmetry_equiv_pos_as_xyz
'x,y,z'
loop_
_atom_site_label
_atom_site_type_symbol
_atom_site_fract_x
_atom_site_fract_y
_atom_site_fract_z
In1 In 0.750 0.748 0.959
In2 In 0.250 0.478 0.209
In3 In 0.250 0.978 0.291
In4 In 0.250 0.752 0.459
In5 In 0.750 0.022 0.709
In6 In 0.750 0.248 0.541
In7 In 0.750 0.522 0.791
In8 In 0.250 0.252 0.041
Tm1 Tm 0.250 0.391 0.437
Tm2 Tm 0.250 0.714 0.696
Tm3 Tm 0.750 0.109 0.937
Tm4 Tm 0.750 0.786 0.196
Tm5 Tm 0.750 0.609 0.563
Tm6 Tm 0.750 0.540 0.077
Tm7 Tm 0.250 0.460 0.923
Tm8 Tm 0.750 0.286 0.304
Tm9 Tm 0.250 0.891 0.063
Tm10 Tm 0.750 0.040 0.423
Tm11 Tm 0.250 0.960 0.577
Tm12 Tm 0.250 0.214 0.804
Sm1 Sm 0.250 0.341 0.661
Sm2 Sm 0.750 0.159 0.161
Sm3 Sm 0.250 0.841 0.839
Sm4 Sm 0.750 0.659 0.339
```

***

No. 12
DFT (PBE-GGA) results for a relaxed Dy12Ho2Er5 crystal.

Values from the calculation:
SG	C2/m, No. 12
energy relative to the lowest polymorph listed for this composition	38	meV/atom
energy relative to the elements	2.4	eV/f.u.
spin magnetization	0.0	Bohr magnetons per cell

Structure (CIF):
```
data_Dy12Ho2Er5
_chemical_formula_sum 'Dy12 Ho2 Er5'
_cell_length_a 9.118
_cell_length_b 9.048
_cell_length_c 8.461
_cell_angle_alpha 90.91
_cell_angle_beta 90.00
_cell_angle_gamma 120.26
_symmetry_space_group_name_H-M 'P 1'
_symmetry_Int_Tables_number 1
loop_
_symmetry_equiv_pos_as_xyz
'x,y,z'
loop_
_atom_site_label
_atom_site_type_symbol
_atom_site_fract_x
_atom_site_fract_y
_atom_site_fract_z
Ho1 Ho 0.677 0.000 0.000
Ho2 Ho 0.323 0.000 0.000
Dy1 Dy 0.433 0.253 0.663
Dy2 Dy 0.027 0.690 0.758
Dy3 Dy 0.337 0.310 0.242
Dy4 Dy 0.820 0.253 0.663
Dy5 Dy 0.441 0.883 0.665
Dy6 Dy 0.973 0.310 0.242
Dy7 Dy 0.909 0.817 0.115
Dy8 Dy 0.663 0.690 0.758
Dy9 Dy 0.091 0.183 0.885
Dy10 Dy 0.180 0.747 0.337
Dy11 Dy 0.567 0.747 0.337
Dy12 Dy 0.559 0.117 0.335
Er1 Er 0.000 0.000 0.500
Er2 Er 0.768 0.536 0.427
Er3 Er 0.698 0.396 0.012
Er4 Er 0.232 0.464 0.573
Er5 Er 0.302 0.604 0.988
```

***

Q: Which value of spin magnetization does entry 1 give?
A: 0.0 Bohr magnetons per cell